No. 1
The following is a PBEsol calculation of a geometry-optimized Cu2POs structure, from the Alexandria database. Values from VASP.

```
&SYSTEM
  ibrav = 0, nat = 4, ntyp = 3
/
ATOMIC_SPECIES
Cu 63.55 Cu.upf
Os 190.23 Os.upf
P 30.97 P.upf
ATOMIC_POSITIONS crystal
Cu 0.3205 0.5000 0.6410
Cu 0.9466 0.0000 0.8933
Os 0.6813 0.0000 0.3626
P 0.5551 0.5000 0.1101
CELL_PARAMETERS angstrom
2.8812 0.0000 0.0000
0.0000 3.7072 0.0000
-1.4406 0.0000 4.8416
```

## Properties
symmetry: No. 38
total moment: 0.0 μB/f.u.
total energy: -6.482 eV/atom
Fermi-level density of states: 2.4 states/eV/f.u.
crystal system: orthorhombic

***

No. 2
The following is a PBEsol calculation of a geometry-optimized InCo2Br structure, from the Alexandria database. Values from VASP.

```
&SYSTEM
  ibrav = 0, nat = 4, ntyp = 3
/
ATOMIC_SPECIES
Co 58.93 Co.upf
Br 79.90 Br.upf
In 114.82 In.upf
ATOMIC_POSITIONS crystal
Co 0.7500 0.2500 0.5000
Co 0.0000 0.0000 0.0000
Br 0.2500 0.7500 0.5000
In 0.5000 0.5000 0.0000
CELL_PARAMETERS angstrom
-2.9151 -0.3237 2.1815
1.4062 -3.0583 1.4252
2.9390 4.2315 1.4927
```

## Properties
symmetry: No. 119
polymorph energy (0 for the lowest one): 0.0878 eV/atom
total moment: 2.3 μB/f.u.
Fermi-level density of states: 6.6 states/eV/f.u.
crystal system: tetragonal